Compound: Tb3Ce2PmTm6
Source: Alexandria via LeMat-Bulk
Functional: GGA-PBE
Structure: optimized geometry

a b c (Å): 6.1035 6.1035 11.6208
angles (deg): 95.01 95.01 119.99
Last column: nearest neighbours and their distance in Å.
Atoms (fractional coordinates):
Tm 0.7479 0.7479 0.2495  2 Ce 3.50, 3 Tb 3.51-3.52, 6 Tm 3.51-3.55, 1 Pm 3.51
Ce 0.3333 0.6667 0.0000  6 Tm 3.50, 3 Pm 3.52, 3 Ce 3.52
Tm 0.0837 0.4193 0.2496  2 Ce 3.50, 3 Tb 3.51-3.52, 6 Tm 3.51-3.55, 1 Pm 3.52
Tm 0.5807 0.9163 0.7504  2 Ce 3.50, 3 Tb 3.51-3.52, 6 Tm 3.51-3.55, 1 Pm 3.52
Pm 0.0000 0.0000 0.0000  6 Tm 3.51-3.52, 6 Ce 3.52
Tm 0.9163 0.5807 0.7504  2 Ce 3.50, 3 Tb 3.51-3.52, 6 Tm 3.51-3.55, 1 Pm 3.52
Tb 0.5000 0.5000 0.5000  6 Tm 3.51-3.52, 6 Tb 3.52-3.53
Tb 0.8339 0.1661 0.5000  6 Tm 3.51-3.52, 6 Tb 3.51-3.53
Tm 0.2521 0.2521 0.7505  2 Ce 3.50, 3 Tb 3.51-3.52, 6 Tm 3.51-3.55, 1 Pm 3.51
Tm 0.4193 0.0837 0.2496  2 Ce 3.50, 3 Tb 3.51-3.52, 6 Tm 3.51-3.55, 1 Pm 3.52
Ce 0.6667 0.3333 0.0000  6 Tm 3.50, 3 Pm 3.52, 3 Ce 3.52
Tb 0.1661 0.8339 0.5000  6 Tm 3.51-3.52, 6 Tb 3.51-3.53

Summary:
Raw total energy (eV/atom): -4.73
V (Å³/cell): 369.17
Energy of formation (eV per atom): 0.048